A geometry-optimized Tl3In2F9 structure, computed with PBE.

Cell and atoms, written as POSCAR:
```
Tl3In2F9
1.0
8.001 -0.113 0.593
0.542 7.983 0.593
-0.122 -0.113 8.022
F In Tl
18 4 6
direct
0.391 0.109 0.250
0.922 0.263 0.074
0.074 0.922 0.263
0.422 0.574 0.763
0.263 0.074 0.922
0.763 0.422 0.574
0.737 0.926 0.078
0.250 0.391 0.109
0.109 0.250 0.391
0.574 0.763 0.422
0.609 0.891 0.750
0.891 0.750 0.609
0.750 0.609 0.891
0.578 0.426 0.237
0.237 0.578 0.426
0.926 0.078 0.737
0.078 0.737 0.926
0.426 0.237 0.578
0.857 0.857 0.857
0.643 0.643 0.643
0.143 0.143 0.143
0.357 0.357 0.357
0.584 0.250 0.916
0.416 0.750 0.084
0.750 0.084 0.416
0.084 0.416 0.750
0.250 0.916 0.584
0.916 0.584 0.250
```

Summary:
The formation energy without anion corrections is -2.20 eV per atom. The calculation puts the raw total energy at -120.5 eV for the cell shown.